A plane-wave DFT calculation with GGA-PBEsol was carried out for BaSm2Sc2O7 after structural relaxation.

- Raw formation energy: -3.43 eV/atom
- Space group: P4_2/mnm, No. 136

abc: 5.7660 5.7660 19.9711
angles: 90.00 90.00 90.00
With the nearest neighbours (Å) after each atom.
Fractional positions:
Ba  0.2389  0.2389  0.0000  6 O 2.72-3.04
Ba  0.2611  0.7389  0.5000  6 O 2.72-3.04
Ba  0.7389  0.2611  0.5000  6 O 2.72-3.04
Ba  0.7611  0.7611  0.0000  6 O 2.72-3.04
Sm  0.2214  0.2214  0.1850  5 O 2.22-2.47
Sm  0.2214  0.2214  0.8150  5 O 2.22-2.47
Sm  0.2786  0.7214  0.3150  5 O 2.22-2.47
Sm  0.2786  0.7214  0.6850  5 O 2.22-2.47
Sm  0.7214  0.2786  0.3150  5 O 2.22-2.47
Sm  0.7214  0.2786  0.6850  5 O 2.22-2.47
Sm  0.7786  0.7786  0.1850  5 O 2.22-2.47
Sm  0.7786  0.7786  0.8150  5 O 2.22-2.47
Sc  0.2408  0.2408  0.3964  6 O 2.05-2.24
Sc  0.2408  0.2408  0.6036  6 O 2.05-2.24
Sc  0.2592  0.7408  0.1036  6 O 2.05-2.24
Sc  0.2592  0.7408  0.8964  6 O 2.05-2.24
Sc  0.7408  0.2592  0.1036  6 O 2.05-2.24
Sc  0.7408  0.2592  0.8964  6 O 2.05-2.24
Sc  0.7592  0.7592  0.3964  6 O 2.05-2.24
Sc  0.7592  0.7592  0.6036  6 O 2.05-2.24
O  0.0000  0.0000  0.0948  2 Sc 2.12
O  0.0000  0.0000  0.3673  2 Sc 2.05
O  0.0000  0.0000  0.6327  2 Sc 2.05
O  0.0000  0.0000  0.9052  2 Sc 2.12
O  0.0000  0.5000  0.1162  2 Sc 2.06
O  0.0000  0.5000  0.3838  2 Sc 2.06
O  0.0000  0.5000  0.6162  2 Sc 2.06
O  0.0000  0.5000  0.8838  2 Sc 2.06
O  0.1810  0.8190  0.2111  3 Sm 2.22-2.39, 1 Sc 2.24
O  0.1810  0.8190  0.7889  3 Sm 2.22-2.39, 1 Sc 2.24
O  0.2145  0.2145  0.5000  2 Sc 2.08
O  0.2855  0.7145  0.0000  2 Sc 2.08
O  0.3190  0.3190  0.2889  3 Sm 2.22-2.39, 1 Sc 2.24
O  0.3190  0.3190  0.7111  3 Sm 2.22-2.39, 1 Sc 2.24
O  0.5000  0.0000  0.1162  2 Sc 2.06
O  0.5000  0.0000  0.3838  2 Sc 2.06
O  0.5000  0.0000  0.6162  2 Sc 2.06
O  0.5000  0.0000  0.8838  2 Sc 2.06
O  0.5000  0.5000  0.1327  2 Sc 2.05
O  0.5000  0.5000  0.4052  2 Sc 2.12
O  0.5000  0.5000  0.5948  2 Sc 2.12
O  0.5000  0.5000  0.8673  2 Sc 2.05
O  0.6810  0.6810  0.2889  3 Sm 2.22-2.39, 1 Sc 2.24
O  0.6810  0.6810  0.7111  3 Sm 2.22-2.39, 1 Sc 2.24
O  0.7145  0.2855  0.0000  2 Sc 2.08
O  0.7855  0.7855  0.5000  2 Sc 2.08
O  0.8190  0.1810  0.2111  3 Sm 2.22-2.39, 1 Sc 2.24
O  0.8190  0.1810  0.7889  3 Sm 2.22-2.39, 1 Sc 2.24


A plane-wave DFT calculation with GGA-PBEsol was carried out for Ba2SeO after structural relaxation.

- Raw formation energy: -2.15 eV/atom
- Space group: I-42d, No. 122

abc: 6.8096 6.8096 6.8096
angles: 113.52 113.52 101.64
With the nearest neighbours (Å) after each atom.
Fractional positions:
Ba  0.0556  0.1250  0.4306  2 O 2.54
Ba  0.3750  0.9444  0.0694  2 O 2.54
Ba  0.6944  0.6250  0.5694  2 O 2.54
Ba  0.8750  0.3056  0.9306  2 O 2.54
Se  0.2500  0.7500  0.5000  4 Ba 3.21
Se  0.5000  0.5000  0.0000  4 Ba 3.21
O  0.0000  0.0000  0.0000  4 Ba 2.54
O  0.7500  0.2500  0.5000  4 Ba 2.54


A plane-wave DFT calculation with GGA-PBEsol was carried out for BaSeO4 after structural relaxation.

- Raw formation energy: -1.70 eV/atom
- Space group: Pnma, No. 62

abc: 9.0615 5.6612 7.3652
angles: 90.00 90.00 90.00
With the nearest neighbours (Å) after each atom.
Fractional positions:
Ba  0.1823  0.2500  0.1571  8 O 2.68-2.98
Ba  0.3177  0.7500  0.6571  8 O 2.68-2.98
Ba  0.6823  0.2500  0.3429  8 O 2.68-2.98
Ba  0.8177  0.7500  0.8429  8 O 2.68-2.98
Se  0.0636  0.2500  0.6852  4 O 1.65-1.67
Se  0.4364  0.7500  0.1852  4 O 1.65-1.67
Se  0.5636  0.2500  0.8148  4 O 1.65-1.67
Se  0.9364  0.7500  0.3148  4 O 1.65-1.67
O  0.0813  0.0117  0.8177  1 Se 1.67
O  0.0813  0.4883  0.8177  1 Se 1.67
O  0.1028  0.7500  0.4070  1 Se 1.65
O  0.2008  0.2500  0.5352  1 Se 1.66
O  0.2992  0.7500  0.0352  1 Se 1.66
O  0.3972  0.2500  0.9070  1 Se 1.65
O  0.4187  0.5117  0.3177  1 Se 1.67
O  0.4187  0.9883  0.3177  1 Se 1.67
O  0.5813  0.0117  0.6823  1 Se 1.67
O  0.5813  0.4883  0.6823  1 Se 1.67
O  0.6028  0.7500  0.0930  1 Se 1.65
O  0.7008  0.2500  0.9648  1 Se 1.66
O  0.7992  0.7500  0.4648  1 Se 1.66
O  0.8972  0.2500  0.5930  1 Se 1.65
O  0.9187  0.5117  0.1823  1 Se 1.67
O  0.9187  0.9883  0.1823  1 Se 1.67


A plane-wave DFT calculation with GGA-PBEsol was carried out for Ba2Sm3Si3SeO12 after structural relaxation.

- Raw formation energy: -3.00 eV/atom
- Space group: P6_3/m, No. 176

abc: 9.9542 9.9542 7.1067
angles: 90.00 90.00 120.00
With the nearest neighbours (Å) after each atom.
Fractional positions:
Ba  0.3333  0.6667  0.0021  9 O 2.67-2.91
Ba  0.3333  0.6667  0.4979  9 O 2.67-2.91
Ba  0.6667  0.3333  0.5021  9 O 2.67-2.91
Ba  0.6667  0.3333  0.9979  9 O 2.67-2.91
Sm  0.0032  0.7400  0.7500  4 O 2.22-2.43
Sm  0.2600  0.2632  0.7500  4 O 2.22-2.43
Sm  0.2632  0.0032  0.2500  4 O 2.22-2.43
Sm  0.7368  0.9968  0.7500  4 O 2.22-2.43
Sm  0.7400  0.7368  0.2500  4 O 2.22-2.43
Sm  0.9968  0.2600  0.2500  4 O 2.22-2.43
Si  0.0206  0.6395  0.2500  4 O 1.62-1.65
Si  0.3605  0.3811  0.2500  4 O 1.62-1.65
Si  0.3811  0.0206  0.7500  4 O 1.62-1.65
Si  0.6189  0.9794  0.2500  4 O 1.62-1.65
Si  0.6395  0.6189  0.7500  4 O 1.62-1.65
Si  0.9794  0.3605  0.7500  4 O 1.62-1.65
Se  0.0000  0.0000  0.0000  6 O 3.09, 6 Sm 3.15
Se  0.0000  0.0000  0.5000  6 O 3.09, 6 Sm 3.15
O  0.0825  0.5136  0.2500  1 Si 1.65
O  0.0994  0.7554  0.0678  1 Si 1.65
O  0.0994  0.7554  0.4322  1 Si 1.65
O  0.1675  0.4459  0.7500  1 Si 1.62
O  0.2446  0.3440  0.0678  1 Si 1.65
O  0.2446  0.3440  0.4322  1 Si 1.65
O  0.2784  0.8325  0.7500  1 Si 1.62
O  0.3440  0.0994  0.5678  1 Si 1.65
O  0.3440  0.0994  0.9322  1 Si 1.65
O  0.4311  0.9175  0.2500  1 Si 1.65
O  0.4459  0.2784  0.2500  1 Si 1.62
O  0.4864  0.5689  0.2500  1 Si 1.65
O  0.5136  0.4311  0.7500  1 Si 1.65
O  0.5541  0.7216  0.7500  1 Si 1.62
O  0.5689  0.0825  0.7500  1 Si 1.65
O  0.6560  0.9006  0.0678  1 Si 1.65
O  0.6560  0.9006  0.4322  1 Si 1.65
O  0.7216  0.1675  0.2500  1 Si 1.62
O  0.7554  0.6560  0.5678  1 Si 1.65
O  0.7554  0.6560  0.9322  1 Si 1.65
O  0.8325  0.5541  0.2500  1 Si 1.62
O  0.9006  0.2446  0.5678  1 Si 1.65
O  0.9006  0.2446  0.9322  1 Si 1.65
O  0.9175  0.4864  0.7500  1 Si 1.65


A plane-wave DFT calculation with GGA-PBEsol was carried out for Ba2SrSeO6 after structural relaxation.

- Raw formation energy: -2.16 eV/atom
- Space group: Fm-3m, No. 225

abc: 5.9139 5.9139 5.9139
angles: 60.00 60.00 60.00
With the nearest neighbours (Å) after each atom.
Fractional positions:
Ba  0.2500  0.2500  0.2500  12 O 2.97
Ba  0.7500  0.7500  0.7500  12 O 2.97
Sr  0.0000  0.0000  0.0000  6 O 2.36
Se  0.5000  0.5000  0.5000  6 O 1.82
O  0.2823  0.2823  0.7177  1 Se 1.82
O  0.2823  0.7177  0.2823  1 Se 1.82
O  0.2823  0.7177  0.7177  1 Se 1.82
O  0.7177  0.2823  0.2823  1 Se 1.82
O  0.7177  0.2823  0.7177  1 Se 1.82
O  0.7177  0.7177  0.2823  1 Se 1.82


A plane-wave DFT calculation with GGA-PBEsol was carried out for BaV2SeO8 after structural relaxation.

- Raw formation energy: -2.14 eV/atom
- Space group: Pnma, No. 62

abc: 13.9884 5.3614 8.9562
angles: 90.00 90.00 90.00
With the nearest neighbours (Å) after each atom.
Fractional positions:
Ba  0.0790  0.2500  0.1974  8 O 2.66-2.96
Ba  0.4210  0.7500  0.6974  8 O 2.66-2.96
Ba  0.5790  0.2500  0.3026  8 O 2.66-2.96
Ba  0.9210  0.7500  0.8026  8 O 2.66-2.96
V  0.1601  0.7500  0.5314  4 O 1.64-1.77
V  0.2131  0.7500  0.9393  1 O 1.60
V  0.2869  0.2500  0.4393  1 O 1.60
V  0.3399  0.2500  0.0314  4 O 1.64-1.77
V  0.6601  0.7500  0.9686  4 O 1.64-1.77
V  0.7131  0.7500  0.5607  1 O 1.60
V  0.7869  0.2500  0.0607  1 O 1.60
V  0.8399  0.2500  0.4686  4 O 1.64-1.77
Se  0.1025  0.2500  0.7766  3 O 1.67-1.77
Se  0.3975  0.7500  0.2766  3 O 1.67-1.77
Se  0.6025  0.2500  0.7234  3 O 1.67-1.77
Se  0.8975  0.7500  0.2234  3 O 1.67-1.77
O  0.0162  0.7500  0.2401  1 Se 1.67
O  0.0473  0.7500  0.5804  1 V 1.64
O  0.1119  0.0031  0.9065  1 Se 1.77
O  0.1119  0.4969  0.9065  1 Se 1.77
O  0.1922  0.0138  0.4228  2 V 1.77-1.84
O  0.1922  0.4862  0.4228  2 V 1.77-1.84
O  0.1958  0.7500  0.1164  1 V 1.60
O  0.2242  0.7500  0.6902  1 V 1.68
O  0.2758  0.2500  0.1902  1 V 1.68
O  0.3042  0.2500  0.6164  1 V 1.60
O  0.3078  0.5138  0.9228  2 V 1.77-1.84
O  0.3078  0.9862  0.9228  2 V 1.77-1.84
O  0.3881  0.5031  0.4065  1 Se 1.77
O  0.3881  0.9969  0.4065  1 Se 1.77
O  0.4527  0.2500  0.0804  1 V 1.64
O  0.4838  0.2500  0.7401  1 Se 1.67
O  0.5162  0.7500  0.2599  1 Se 1.67
O  0.5473  0.7500  0.9196  1 V 1.64
O  0.6119  0.0031  0.5935  1 Se 1.77
O  0.6119  0.4969  0.5935  1 Se 1.77
O  0.6922  0.0138  0.0772  2 V 1.77-1.84
O  0.6922  0.4862  0.0772  2 V 1.77-1.84
O  0.6958  0.7500  0.3836  1 V 1.60
O  0.7242  0.7500  0.8098  1 V 1.68
O  0.7758  0.2500  0.3098  1 V 1.68
O  0.8042  0.2500  0.8836  1 V 1.60
O  0.8078  0.5138  0.5772  2 V 1.77-1.84
O  0.8078  0.9862  0.5772  2 V 1.77-1.84
O  0.8881  0.5031  0.0935  1 Se 1.77
O  0.8881  0.9969  0.0935  1 Se 1.77
O  0.9527  0.2500  0.4196  1 V 1.64
O  0.9838  0.2500  0.7599  1 Se 1.67


no.,VASP energy (eV per atom)
1,-8.62
2,-5.50
3,-6.20
4,-7.94
5,-6.31
6,-7.74